# 1
4
Lattice="3.980 0.000 0.000 0.000 5.070 0.073 0.000 1.941 4.683" Properties=species:S:1:pos:R:3 comment="CuTe2Se PBE relaxed" e_tot_ev_per_atom=-3.428 formation_energy_uncorrected_mev_per_atom=38 pbc="T T T"
Te 0.000 0.012 0.008
Cu 0.000 3.582 2.431
Te 1.990 1.973 1.338
Se 1.990 4.950 3.357



# 2
14
Lattice="7.336 0.000 0.000 3.668 6.354 0.000 3.668 2.118 5.990" Properties=species:S:1:pos:R:3 comment="Cu8TeSe5 PBE relaxed" e_tot_ev_per_atom=-3.851 formation_energy_uncorrected_mev_per_atom=-42 pbc="T T T"
Cu 5.749 3.319 2.347
Cu 8.924 3.319 2.347
Cu 11.005 4.346 5.203
Se 7.336 2.059 3.765
Se 0.000 0.000 0.000
Cu 7.336 6.069 2.347
Cu 9.266 7.358 5.203
Cu 11.005 6.354 2.363
Cu 7.336 4.236 4.939
Se 5.451 5.324 3.765
Cu 12.744 7.358 5.203
Te 3.668 2.118 1.498
Se 9.221 5.324 3.765
Se 7.336 4.236 0.686



# 3
80
Lattice="-0.448 5.900 11.187 7.688 -10.019 0.820 4.381 7.970 -8.800" Properties=species:S:1:pos:R:3 comment="Cu12Te3Se5 PBE relaxed" e_tot_ev_per_atom=-3.827 formation_energy_uncorrected_mev_per_atom=-27 pbc="T T T"
Te 1.664 5.902 7.691
Cu 2.231 0.624 -0.829
Se 7.698 4.878 3.701
Cu 2.975 9.638 4.672
Cu 4.762 1.114 9.563
Cu 6.415 0.335 3.380
Cu 3.396 2.297 1.900
Te 9.129 0.640 3.607
Cu 3.780 5.862 -4.413
Te 5.699 5.207 -6.097
Cu 5.206 3.516 -0.173
Cu 8.224 1.554 1.307
Cu 6.193 8.514 0.946
Cu 3.601 4.112 8.434
Cu 4.000 6.400 2.471
Cu 3.205 2.325 -2.894
Te 5.921 -1.356 9.303
Se 4.268 7.639 4.494
Cu 5.966 -0.248 0.462
Se 3.620 -2.060 6.003
Cu 8.155 5.201 -0.446
Cu 8.646 -5.787 -1.466
Cu 8.178 6.547 2.063
Cu 10.671 0.486 -4.509
Se 3.922 -1.027 -0.494
Cu 9.390 3.227 4.036
Cu 5.427 -4.663 2.261
Cu 8.019 -0.260 -5.227
Cu 0.949 3.366 7.715
Cu 5.282 -3.442 4.829
Se 7.542 -3.087 5.509
Se 2.190 3.985 -4.400
Cu 7.840 -2.011 7.619
Cu 6.952 -3.880 9.575
Se 5.509 2.699 -2.396
Cu 8.416 1.526 6.101
Cu 1.691 4.576 1.837
Cu 9.930 -0.725 1.370
Se 6.034 -1.024 -3.990
Te 2.492 3.211 -0.401
Cu 6.678 4.148 -3.890
Se 2.302 0.704 3.300
Se 7.163 -6.295 2.414
Se 4.078 6.938 -2.302
Cu 6.858 2.737 -6.356
Cu 3.382 5.692 -0.389
Cu 6.339 7.293 -1.622
Cu 3.686 5.881 6.001
Cu 3.442 -2.696 1.144
Te 3.285 4.171 3.897
Cu 4.943 -0.297 7.097
Cu 1.120 4.967 5.173
Cu 6.947 0.808 -2.625
Cu 10.500 -1.116 -1.966
Se 0.000 0.000 0.000
Cu 2.056 2.107 5.216
Te 5.732 -2.057 2.507
Te 8.336 -0.320 -0.690
Cu 8.238 -1.841 3.595
Cu 7.934 -2.030 -2.794
Cu 7.621 -2.549 0.736
Te 8.526 2.187 -4.391
Se 6.112 1.152 5.602
Cu 7.553 -7.591 0.447
Cu 5.654 4.099 2.745
Se 5.810 1.926 1.603
Cu 4.673 3.043 5.832
Cu 9.564 1.744 -2.009
Te 5.888 5.908 0.699
Se 9.319 3.147 -0.093
Se -0.224 2.950 5.593
Se 7.353 -3.788 -1.287
Se 1.966 6.935 1.194
Cu 4.067 11.442 2.759
Cu 4.668 7.732 -6.368
Se 4.458 10.146 0.793
Te 9.957 -2.051 -4.484
Te 3.094 1.664 7.597
Cu 3.466 -1.350 3.653
Se 3.844 -5.009 0.410



# 4
4
Lattice="5.158 0.023 0.000 -0.021 5.158 0.000 0.000 0.000 3.359" Properties=species:S:1:pos:R:3 comment="CuTe2Se PBE relaxed" e_tot_ev_per_atom=-3.036 formation_energy_uncorrected_mev_per_atom=430 pbc="T T T"
Te 0.000 0.000 0.000
Cu 2.579 0.012 1.679
Te 2.569 2.590 0.000
Se -0.010 2.579 1.679



# 5
5
Lattice="4.776 0.000 0.000 0.000 4.776 0.000 0.000 0.000 4.776" Properties=species:S:1:pos:R:3 comment="CuTeSe3 PBE relaxed" e_tot_ev_per_atom=-3.153 e_above_lowest_polymorph_mev_per_atom=354.9 formation_energy_uncorrected_mev_per_atom=385 pbc="T T T"
Se 0.000 2.388 0.000
Se 2.388 0.000 0.000
Cu 0.000 0.000 0.000
Te 2.388 2.388 2.388
Se 0.000 0.000 2.388



# 6
3
Lattice="-2.786 -2.430 -1.109 3.699 -1.082 -0.206 -0.266 -1.784 4.575" Properties=species:S:1:pos:R:3 comment="CuTeSe PBE relaxed" e_tot_ev_per_atom=-3.592 e_above_lowest_polymorph_mev_per_atom=41.7 formation_energy_uncorrected_mev_per_atom=-18 pbc="T T T"
Se -0.730 -2.690 1.013
Cu 1.364 -2.690 2.465
Te -0.254 -1.698 4.356